First-principles (PBE) data for an optimized crystal structure of PrNd2Ho, as listed in Alexandria.

Cell lengths 5.8061, 5.8061, 5.8061 Å; angles 60.00, 60.00, 60.00 degrees
With the nearest neighbours (Å) after each atom.
Fractional coordinates of all 4 atoms:
Nd 0.7500 0.7500 0.7500  4 Pr 3.56, 4 Ho 3.56
Pr 0.0000 0.0000 0.0000  8 Nd 3.56
Ho 0.5000 0.5000 0.5000  8 Nd 3.56
Nd 0.2500 0.2500 0.2500  4 Ho 3.56, 4 Pr 3.56

- ΔE_f (meV/atom) = 137
- magnetic moment (μB per formula unit) = 0.0